Record 1
A plane-wave DFT calculation with PBE was carried out for Cu2HgAs after structural relaxation.

Formation energy: 1.0 eV per formula unit

The structure in POSCAR format:
```
Cu2HgAs
1.0
3.731 0.000 0.000
0.000 4.187 0.000
0.000 0.000 4.198
Cu Hg As
2 1 1
Cartesian
0.000 0.000 0.000
0.000 2.093 2.099
1.866 0.000 2.099
1.866 2.093 0.000
```


Record 2
A plane-wave DFT calculation with PBE was carried out for Cu2HgAs after structural relaxation.

Formation energy: 0.8 eV per formula unit

The structure in POSCAR format:
```
Cu2HgAs
1.0
7.776 0.000 0.000
0.000 3.085 0.000
-1.383 0.000 5.755
Cu Hg As
4 2 2
Cartesian
1.639 0.000 1.169
0.866 1.542 4.586
5.527 1.542 1.169
4.753 0.000 4.586
-0.692 0.000 2.877
3.196 1.542 2.877
0.000 1.542 0.000
3.888 0.000 0.000
```


Record 3
A plane-wave DFT calculation with PBE was carried out for Cu2HgAs after structural relaxation.

Formation energy: 1.0 eV per formula unit

The structure in POSCAR format:
```
Cu2HgAs
1.0
3.868 0.000 0.000
0.000 3.868 0.000
0.000 0.000 8.769
Cu Hg As
4 2 2
Cartesian
0.000 0.000 0.000
0.000 1.934 2.192
1.934 0.000 6.577
1.934 1.934 4.384
0.000 1.934 6.577
1.934 0.000 2.192
0.000 0.000 4.384
1.934 1.934 0.000
```


Record 4
A plane-wave DFT calculation with PBE was carried out for Cu2HgAs after structural relaxation.

Formation energy: 1.2 eV per formula unit

The structure in POSCAR format:
```
Cu2HgAs
1.0
6.420 0.000 0.000
0.000 6.420 0.000
0.000 0.000 6.420
Cu Hg As
8 4 4
Cartesian
1.605 1.605 1.605
1.605 1.605 4.815
1.605 4.815 1.605
1.605 4.815 4.815
4.815 1.605 1.605
4.815 1.605 4.815
4.815 4.815 1.605
4.815 4.815 4.815
0.000 0.000 0.000
0.000 3.210 3.210
3.210 0.000 3.210
3.210 3.210 0.000
0.000 0.000 3.210
0.000 3.210 0.000
3.210 0.000 0.000
3.210 3.210 3.210
```


Record 5
A plane-wave DFT calculation with PBE was carried out for Cu2HgAs after structural relaxation.

Formation energy: 0.7 eV per formula unit

The structure in POSCAR format:
```
Cu2HgAs
1.0
2.949 0.000 0.000
0.000 3.951 0.000
0.000 0.000 6.200
Cu Hg As
2 1 1
Cartesian
0.000 0.000 0.000
0.000 1.975 2.424
1.475 1.975 4.921
1.475 0.000 1.983
```


Record 6
A plane-wave DFT calculation with PBE was carried out for Cu2Hg2As after structural relaxation.

Formation energy: 1.2 eV per formula unit

The structure in POSCAR format:
```
Cu2Hg2As
1.0
6.583 0.000 0.000
0.000 6.583 0.000
0.000 0.000 4.232
Cu Hg As
4 4 2
Cartesian
0.937 2.355 0.000
2.355 5.646 0.000
4.228 0.937 0.000
5.646 4.228 0.000
1.057 4.349 2.116
2.234 1.057 2.116
4.349 5.526 2.116
5.526 2.234 2.116
0.000 0.000 0.000
3.291 3.291 0.000
```


Record 7
A plane-wave DFT calculation with PBE was carried out for CuHgAs3 after structural relaxation.

ΔE to the lowest computed polymorph: 0 meV per atom
Formation energy: 3.0 eV per formula unit

The structure in POSCAR format:
```
CuHgAs3
1.0
4.782 0.000 0.000
0.000 4.782 0.000
0.000 0.000 4.782
Cu Hg As
1 1 3
Cartesian
0.000 0.000 0.000
2.391 2.391 2.391
0.000 0.000 2.391
0.000 2.391 0.000
2.391 0.000 0.000
```


Record 8
A plane-wave DFT calculation with PBE was carried out for Cu2HgAs after structural relaxation.

Formation energy: 1.6 eV per formula unit

The structure in POSCAR format:
```
Cu2HgAs
1.0
6.476 0.000 0.000
0.000 6.476 0.000
0.000 0.000 6.476
Cu Hg As
8 4 4
Cartesian
0.000 0.000 0.000
0.000 3.238 3.238
1.619 1.619 1.619
1.619 4.857 4.857
3.238 0.000 3.238
3.238 3.238 0.000
4.857 1.619 4.857
4.857 4.857 1.619
1.619 1.619 4.857
1.619 4.857 1.619
4.857 1.619 1.619
4.857 4.857 4.857
0.000 0.000 3.238
0.000 3.238 0.000
3.238 0.000 0.000
3.238 3.238 3.238
```